Material: Li2Ac2Ag3
Method: DFT, PBE
State: relaxed Values from VASP.

M_tot in μB/atom: 0.0000
Space-group type: No. 63
Crystal system: orthorhombic
Energy of formation from the pure elements in eV per atom: -0.216

Geometry as Quantum ESPRESSO input:
```
&SYSTEM
  ibrav = 0, nat = 14, ntyp = 3
/
ATOMIC_SPECIES
Li 6.94 Li.upf
Ag 107.87 Ag.upf
Ac 227.00 Ac.upf
ATOMIC_POSITIONS angstrom
Li 3.043 7.640 3.308
Li 3.043 4.572 3.308
Li 1.456 0.501 6.108
Li 1.456 3.569 6.108
Ag 1.045 6.106 4.385
Ag 2.071 7.568 8.688
Ag 2.428 0.573 0.728
Ag 3.454 2.035 5.032
Ag 2.071 4.643 8.688
Ag 2.428 3.498 0.728
Ac 3.758 6.106 6.306
Ac 0.262 6.106 1.100
Ac 4.237 2.035 8.316
Ac 0.742 2.035 3.110
CELL_PARAMETERS angstrom
4.266 0.000 -1.017
0.000 8.141 0.000
0.233 0.000 10.433
```